1.
First-principles (PBE) data for a relaxed PmPHRu2 crystal, as listed in Alexandria via LeMat-Bulk.

extended XYZ file:
```
10
Lattice="-1.6392 -3.0488 1.3544 5.1251 -1.3769 -1.9975 2.8912 1.3328 6.4993" Properties=species:S:1:pos:R:3 pbc="T T T"
H 0.0000 0.0000 0.0000
H 1.4456 0.6664 3.2496
P 3.0905 -1.2623 0.8987
P 3.2866 -1.8306 4.9574
Pm 6.0029 -1.5844 3.6986
Pm 0.3741 -1.5085 2.1576
Ru 3.3559 -2.8884 2.6603
Ru 2.2465 -3.3998 0.1664
Ru 3.0211 -0.2045 3.1959
Ru 4.1305 0.3069 5.6898
```

E_tot = -6.99 eV per atom
Spin magnetization = 0.0 Bohr magnetons per cell
Space-group type = No. 63

2.
First-principles (PBE) data for a relaxed PmPH2Ru2 crystal, as listed in Alexandria via LeMat-Bulk.

extended XYZ file:
```
12
Lattice="5.6589 0.0000 0.0000 0.0000 5.7740 -0.5521 0.0000 -2.5725 5.1978" Properties=species:S:1:pos:R:3 pbc="T T T"
Ru 2.8303 2.3564 3.4153
Ru 2.8286 0.8451 1.2303
Ru 5.6581 2.3564 3.4153
Ru 0.0008 0.8451 1.2303
P 4.2442 4.8345 0.0943
P 1.4147 -1.6329 4.5514
H 1.4147 1.3149 3.6784
H 1.4147 0.2291 2.1134
H 4.2442 2.9724 2.5322
H 4.2442 1.8867 0.9672
Pm 4.2442 -0.5435 3.8005
Pm 1.4147 3.7450 0.8452
```

E_tot = -6.38 eV per atom
Spin magnetization = 0.0 Bohr magnetons per cell
Space-group type = No. 63

3.
First-principles (PBE) data for a relaxed PmPH2Ru crystal, as listed in Alexandria via LeMat-Bulk.

extended XYZ file:
```
10
Lattice="-3.2248 1.4356 1.6429 -0.8323 -1.0142 -5.3610 -1.8014 -5.5731 1.3340" Properties=species:S:1:pos:R:3 pbc="T T T"
P -3.4707 -4.4368 -2.9354
P -2.3878 -0.7149 0.5514
Ru -0.9007 -2.7866 0.6670
Ru 0.0000 0.0000 0.0000
H -3.3722 0.1699 -2.1540
H -1.8107 -3.2314 -0.7304
H -2.4863 -5.3216 -0.2301
H -4.0479 -1.9203 -1.6536
Pm -1.8526 -1.5633 -2.2702
Pm -4.0060 -3.5884 -0.1138
```

E_tot = -5.90 eV per atom
Spin magnetization = 0.0 Bohr magnetons per cell
Space-group type = No. 63

4.
First-principles (PBE) data for a relaxed Pm8P3HS4 crystal, as listed in Alexandria via LeMat-Bulk.

extended XYZ file:
```
16
Lattice="8.1007 0.0000 0.0000 0.0000 8.0988 -0.0073 -4.0503 -4.0461 5.7310" Properties=species:S:1:pos:R:3 pbc="T T T"
Pm 1.9801 2.0439 5.7048
Pm 0.0000 4.0219 2.9035
Pm 4.0503 0.0309 2.8202
Pm 6.0304 2.0089 0.0189
Pm -1.9801 2.0439 5.7048
Pm 0.0000 0.0373 2.8888
Pm 2.0702 2.0089 0.0189
Pm 4.0503 4.0155 2.8348
S -2.0252 -2.0230 2.8655
S 2.0252 -2.0230 2.8655
S 0.0000 0.0000 0.0000
S 4.0503 0.0000 0.0000
P 4.0503 4.0494 -0.0037
P -2.0252 2.0264 2.8618
P 2.0252 2.0264 2.8618
H 0.0000 4.0494 -0.0037
```

E_tot = -6.31 eV per atom
Spin magnetization = 0.0 Bohr magnetons per cell
Space-group type = No. 166

What did the second record say?
First-principles (PBE) data for a relaxed PmPH2Ru2 crystal, as listed in Alexandria via LeMat-Bulk.

extended XYZ file:
```
12
Lattice="5.6589 0.0000 0.0000 0.0000 5.7740 -0.5521 0.0000 -2.5725 5.1978" Properties=species:S:1:pos:R:3 pbc="T T T"
Ru 2.8303 2.3564 3.4153
Ru 2.8286 0.8451 1.2303
Ru 5.6581 2.3564 3.4153
Ru 0.0008 0.8451 1.2303
P 4.2442 4.8345 0.0943
P 1.4147 -1.6329 4.5514
H 1.4147 1.3149 3.6784
H 1.4147 0.2291 2.1134
H 4.2442 2.9724 2.5322
H 4.2442 1.8867 0.9672
Pm 4.2442 -0.5435 3.8005
Pm 1.4147 3.7450 0.8452
```

E_tot = -6.38 eV per atom
Spin magnetization = 0.0 Bohr magnetons per cell
Space-group type = No. 63

What did the fourth record say?
First-principles (PBE) data for a relaxed Pm8P3HS4 crystal, as listed in Alexandria via LeMat-Bulk.

extended XYZ file:
```
16
Lattice="8.1007 0.0000 0.0000 0.0000 8.0988 -0.0073 -4.0503 -4.0461 5.7310" Properties=species:S:1:pos:R:3 pbc="T T T"
Pm 1.9801 2.0439 5.7048
Pm 0.0000 4.0219 2.9035
Pm 4.0503 0.0309 2.8202
Pm 6.0304 2.0089 0.0189
Pm -1.9801 2.0439 5.7048
Pm 0.0000 0.0373 2.8888
Pm 2.0702 2.0089 0.0189
Pm 4.0503 4.0155 2.8348
S -2.0252 -2.0230 2.8655
S 2.0252 -2.0230 2.8655
S 0.0000 0.0000 0.0000
S 4.0503 0.0000 0.0000
P 4.0503 4.0494 -0.0037
P -2.0252 2.0264 2.8618
P 2.0252 2.0264 2.8618
H 0.0000 4.0494 -0.0037
```

E_tot = -6.31 eV per atom
Spin magnetization = 0.0 Bohr magnetons per cell
Space-group type = No. 166

Q: Among the records above, which one has the highest E_tot?
A: PmPH2Ru